(1)
# CaY4Tc, optimized geometry, DFT PBE
data_CaY4Tc
_chemical_formula_sum 'Ca4 Y16 Tc4'
_space_group_name_H-M_alt 'F -4 3 m'
_space_group_IT_number 216
_space_group_name_Hall 'F -4 2 3'
_cell_length_a 9.014
_cell_length_b 9.014
_cell_length_c 9.014
_cell_angle_alpha 90.00
_cell_angle_beta 90.00
_cell_angle_gamma 90.00
loop_
_atom_site_label
_atom_site_fract_x
_atom_site_fract_y
_atom_site_fract_z
Ca1 0.000 0.000 0.000
Y1 0.123 0.123 0.377
Tc1 0.250 0.250 0.750
# ρ (Mg/m³): 4.48
# VASP energy (eV per atom): -5.605

(2)
# Sc2BeH, optimized geometry, DFT PBE
data_Sc2BeH
_chemical_formula_sum 'Sc8 Be4 H4'
_space_group_name_H-M_alt 'F m -3 m'
_space_group_IT_number 225
_space_group_name_Hall '-F 4 2 3'
_cell_length_a 6.179
_cell_length_b 6.179
_cell_length_c 6.179
_cell_angle_alpha 90.00
_cell_angle_beta 90.00
_cell_angle_gamma 90.00
loop_
_atom_site_label
_atom_site_fract_x
_atom_site_fract_y
_atom_site_fract_z
Sc1 0.250 0.250 0.250
Be1 0.000 0.000 0.000
H1 0.000 0.000 0.500
# ρ (Mg/m³): 2.81
# VASP energy (eV per atom): -4.772

(3)
# Mo6PbSe4S4, optimized geometry, DFT PBE
data_Mo6PbSe4S4
_chemical_formula_sum 'Mo6 Pb1 Se4 S4'
_space_group_name_H-M_alt 'P 1'
_space_group_IT_number 1
_space_group_name_Hall 'P 1'
_cell_length_a 6.748
_cell_length_b 6.845
_cell_length_c 6.853
_cell_angle_alpha 88.88
_cell_angle_beta 86.30
_cell_angle_gamma 85.71
loop_
_atom_site_label
_atom_site_fract_x
_atom_site_fract_y
_atom_site_fract_z
Mo1 0.000 0.000 0.000
Mo2 0.013 0.794 0.347
Mo3 0.132 0.322 0.175
Mo4 0.157 0.105 0.519
Mo5 0.336 0.964 0.193
Mo6 0.810 0.148 0.328
Pb1 0.599 0.669 0.824
Se1 0.323 0.170 0.866
Se2 0.334 0.762 0.510
Se3 0.814 0.332 0.000
Se4 0.940 0.437 0.508
S1 0.191 0.680 0.035
S2 0.432 0.267 0.354
S3 0.716 0.846 0.165
S4 0.847 0.956 0.640
# ρ (Mg/m³): 6.47
# E_form (uncorrected) (meV/atom): -576

(4)
# TaI6Cl2, optimized geometry, DFT PBE
data_TaI6Cl2
_chemical_formula_sum 'Ta2 I12 Cl4'
_space_group_name_H-M_alt 'P 1 21/c 1'
_space_group_IT_number 14
_space_group_name_Hall '-P 2ybc'
_cell_length_a 7.168
_cell_length_b 10.600
_cell_length_c 13.664
_cell_angle_alpha 90.00
_cell_angle_beta 119.17
_cell_angle_gamma 90.00
loop_
_atom_site_label
_atom_site_fract_x
_atom_site_fract_y
_atom_site_fract_z
Ta1 0.000 0.000 0.000
I1 0.003 0.003 0.789
I2 0.305 0.682 0.577
I3 0.308 0.180 0.081
Cl1 0.002 0.247 0.252
# ρ (Mg/m³): 3.71
# E_form (uncorrected) (meV/atom): -270

(5)
# Si2HN3, optimized geometry, DFT PBE
data_Si2HN3
_chemical_formula_sum 'Si8 H4 N12'
_space_group_name_H-M_alt 'C m c 21'
_space_group_IT_number 36
_space_group_name_Hall 'C 2c -2'
_cell_length_a 9.272
_cell_length_b 5.463
_cell_length_c 4.857
_cell_angle_alpha 90.00
_cell_angle_beta 90.00
_cell_angle_gamma 90.00
loop_
_atom_site_label
_atom_site_fract_x
_atom_site_fract_y
_atom_site_fract_z
Si1 0.175 0.158 0.000
H1 0.000 0.401 0.799
N1 0.000 0.256 0.934
N2 0.211 0.125 0.349
# ρ (Mg/m³): 2.68
# VASP energy (eV per atom): -7.485

(6)
# BaSb2Os, optimized geometry, DFT PBE
data_BaSb2Os
_chemical_formula_sum 'Ba2 Sb4 Os2'
_space_group_name_H-M_alt 'I m m m'
_space_group_IT_number 71
_space_group_name_Hall '-I 2 2'
_cell_length_a 3.378
_cell_length_b 6.152
_cell_length_c 10.700
_cell_angle_alpha 90.00
_cell_angle_beta 90.00
_cell_angle_gamma 90.00
loop_
_atom_site_label
_atom_site_fract_x
_atom_site_fract_y
_atom_site_fract_z
Ba1 0.000 0.000 0.000
Sb1 0.000 0.500 0.193
Os1 0.000 0.000 0.500
# ρ (Mg/m³): 8.53
# E_form (uncorrected) (meV/atom): 2

(7)
# HfSc2Al, optimized geometry, DFT PBE
data_HfSc2Al
_chemical_formula_sum 'Hf4 Sc8 Al4'
_space_group_name_H-M_alt 'C m c 21'
_space_group_IT_number 36
_space_group_name_Hall 'C 2c -2'
_cell_length_a 3.037
_cell_length_b 20.389
_cell_length_c 5.870
_cell_angle_alpha 90.00
_cell_angle_beta 90.00
_cell_angle_gamma 90.00
loop_
_atom_site_label
_atom_site_fract_x
_atom_site_fract_y
_atom_site_fract_z
Hf1 0.000 0.130 0.000
Sc1 0.000 0.001 0.758
Sc2 0.000 0.261 0.755
Al1 0.000 0.127 0.499
# ρ (Mg/m³): 5.40
# VASP energy (eV per atom): -6.426

(8)
# KInGaSn2, optimized geometry, DFT PBE
data_KInGaSn2
_chemical_formula_sum 'K2 In2 Ga2 Sn4'
_space_group_name_H-M_alt 'I -4 m 2'
_space_group_IT_number 119
_space_group_name_Hall 'I -4 -2'
_cell_length_a 5.151
_cell_length_b 5.151
_cell_length_c 11.564
_cell_angle_alpha 90.00
_cell_angle_beta 90.00
_cell_angle_gamma 90.00
loop_
_atom_site_label
_atom_site_fract_x
_atom_site_fract_y
_atom_site_fract_z
K1 0.000 0.000 0.000
In1 0.000 0.500 0.250
Ga1 0.000 0.500 0.750
Sn1 0.000 0.000 0.374
# ρ (Mg/m³): 4.99
# VASP energy (eV per atom): -3.117

(9)
# Sc4PtAu3, optimized geometry, DFT PBE
data_Sc4PtAu3
_chemical_formula_sum 'Sc4 Pt1 Au3'
_space_group_name_H-M_alt 'P m m m'
_space_group_IT_number 47
_space_group_name_Hall '-P 2 2'
_cell_length_a 3.373
_cell_length_b 4.791
_cell_length_c 9.561
_cell_angle_alpha 90.00
_cell_angle_beta 90.00
_cell_angle_gamma 90.00
loop_
_atom_site_label
_atom_site_fract_x
_atom_site_fract_y
_atom_site_fract_z
Sc1 0.000 0.000 0.000
Sc2 0.000 0.000 0.500
Sc3 0.000 0.500 0.241
Pt1 0.500 0.500 0.000
Au1 0.500 0.000 0.252
Au2 0.500 0.500 0.500
# ρ (Mg/m³): 10.38
# VASP energy (eV per atom): -6.059

(10)
# LaTc2N, optimized geometry, DFT PBE
data_LaTc2N
_chemical_formula_sum 'La4 Tc8 N4'
_space_group_name_H-M_alt 'I -4 2 d'
_space_group_IT_number 122
_space_group_name_Hall 'I -4 2bw'
_cell_length_a 5.874
_cell_length_b 5.874
_cell_length_c 9.082
_cell_angle_alpha 90.00
_cell_angle_beta 90.00
_cell_angle_gamma 90.00
loop_
_atom_site_label
_atom_site_fract_x
_atom_site_fract_y
_atom_site_fract_z
La1 0.000 0.000 0.000
Tc1 0.074 0.250 0.625
N1 0.000 0.000 0.500
# ρ (Mg/m³): 7.40
# E_form (uncorrected) (meV/atom): 123

(11)
# Ag3B5O9, optimized geometry, DFT PBE
data_Ag3B5O9
_chemical_formula_sum 'Ag12 B20 O36'
_space_group_name_H-M_alt 'P 21 21 21'
_space_group_IT_number 19
_space_group_name_Hall 'P 2ac 2ab'
_cell_length_a 6.814
_cell_length_b 9.581
_cell_length_c 11.203
_cell_angle_alpha 90.00
_cell_angle_beta 90.00
_cell_angle_gamma 90.00
loop_
_atom_site_label
_atom_site_fract_x
_atom_site_fract_y
_atom_site_fract_z
Ag1 0.024 0.092 0.079
Ag2 0.064 0.311 0.512
Ag3 0.182 0.731 0.224
B1 0.000 0.427 0.936
B2 0.025 0.036 0.761
B3 0.150 0.023 0.372
B4 0.204 0.426 0.121
B5 0.205 0.737 0.785
O1 0.008 0.909 0.686
O2 0.046 0.655 0.813
O3 0.057 0.530 0.164
O4 0.097 0.520 0.631
O5 0.161 0.971 0.498
O6 0.174 0.396 0.993
O7 0.177 0.292 0.188
O8 0.232 0.062 0.791
O9 0.234 0.170 0.376
# ρ (Mg/m³): 4.74
# E_form (uncorrected) (meV/atom): -1794

(12)
# Ta2Be2VNi5, optimized geometry, DFT PBE
data_Ta2Be2VNi5
_chemical_formula_sum 'Ta4 Be4 V2 Ni10'
_space_group_name_H-M_alt 'P 4/m b m'
_space_group_IT_number 127
_space_group_name_Hall '-P 4 2ab'
_cell_length_a 8.409
_cell_length_b 8.409
_cell_length_c 3.328
_cell_angle_alpha 90.00
_cell_angle_beta 90.00
_cell_angle_gamma 90.00
loop_
_atom_site_label
_atom_site_fract_x
_atom_site_fract_y
_atom_site_fract_z
Ta1 0.179 0.321 0.000
Be1 0.115 0.615 0.000
V1 0.000 0.000 0.000
Ni1 0.000 0.500 0.500
Ni2 0.064 0.792 0.500
# ρ (Mg/m³): 10.22
# VASP energy (eV per atom): -7.170

(13)
# BaWN3, optimized geometry, DFT PBE
data_BaWN3
_chemical_formula_sum 'Ba4 W4 N12'
_space_group_name_H-M_alt 'I -4 m 2'
_space_group_IT_number 119
_space_group_name_Hall 'I -4 -2'
_cell_length_a 4.142
_cell_length_b 4.142
_cell_length_c 20.847
_cell_angle_alpha 90.00
_cell_angle_beta 90.00
_cell_angle_gamma 90.00
loop_
_atom_site_label
_atom_site_fract_x
_atom_site_fract_y
_atom_site_fract_z
Ba1 0.000 0.000 0.095
W1 0.000 0.000 0.500
W2 0.000 0.500 0.250
N1 0.000 0.155 0.309
N2 0.000 0.500 0.501
# ρ (Mg/m³): 6.75
# E_form (uncorrected) (meV/atom): -254

(14)
# InNiAs2C, optimized geometry, DFT PBE
data_InNiAs2C
_chemical_formula_sum 'In1 Ni1 As2 C1'
_space_group_name_H-M_alt 'P 4/m m m'
_space_group_IT_number 123
_space_group_name_Hall '-P 4 2'
_cell_length_a 4.744
_cell_length_b 4.744
_cell_length_c 3.684
_cell_angle_alpha 90.00
_cell_angle_beta 90.00
_cell_angle_gamma 90.00
loop_
_atom_site_label
_atom_site_fract_x
_atom_site_fract_y
_atom_site_fract_z
In1 0.000 0.000 0.000
Ni1 0.500 0.500 0.000
As1 0.000 0.500 0.500
C1 0.500 0.500 0.500
# ρ (Mg/m³): 6.72
# VASP energy (eV per atom): -4.690

(15)
# Sr2CaAsN, optimized geometry, DFT PBE
data_Sr2CaAsN
_chemical_formula_sum 'Sr2 Ca1 As1 N1'
_space_group_name_H-M_alt 'P 4/m m m'
_space_group_IT_number 123
_space_group_name_Hall '-P 4 2'
_cell_length_a 5.125
_cell_length_b 5.125
_cell_length_c 4.792
_cell_angle_alpha 90.00
_cell_angle_beta 90.00
_cell_angle_gamma 90.00
loop_
_atom_site_label
_atom_site_fract_x
_atom_site_fract_y
_atom_site_fract_z
Sr1 0.000 0.500 0.000
Ca1 0.000 0.000 0.500
As1 0.500 0.500 0.500
N1 0.000 0.000 0.000
# ρ (Mg/m³): 4.01
# E_form (uncorrected) (meV/atom): -937

(16)
# ScAl2Co, optimized geometry, DFT PBE
data_ScAl2Co
_chemical_formula_sum 'Sc3 Al6 Co3'
_space_group_name_H-M_alt 'R -3 m'
_space_group_IT_number 166
_space_group_name_Hall '-R 3 2"'
_cell_length_a 4.0769
_cell_length_b 4.0769
_cell_length_c 13.7713
_cell_angle_alpha 90.00
_cell_angle_beta 90.00
_cell_angle_gamma 120.00
loop_
_atom_site_label
_atom_site_fract_x
_atom_site_fract_y
_atom_site_fract_z
Sc1 0.0000 0.0000 0.0000
Al1 0.0000 0.0000 0.2124
Co1 0.0000 0.0000 0.5000
# ρ (Mg/m³): 3.97
# VASP energy (eV per atom): -5.602

(17)
# LiLa2Al12Pd3, optimized geometry, DFT PBE
data_LiLa2Al12Pd3
_chemical_formula_sum 'Li3 La6 Al36 Pd9'
_space_group_name_H-M_alt 'R -3 m'
_space_group_IT_number 166
_space_group_name_Hall '-R 3 2"'
_cell_length_a 8.1335
_cell_length_b 8.1335
_cell_length_c 19.8797
_cell_angle_alpha 90.00
_cell_angle_beta 90.00
_cell_angle_gamma 120.00
loop_
_atom_site_label
_atom_site_fract_x
_atom_site_fract_y
_atom_site_fract_z
Li1 0.0000 0.0000 0.0000
La1 0.0000 0.0000 0.4204
Al1 0.0805 0.5403 0.3702
Al2 0.1029 0.5514 0.7650
Pd1 0.0000 0.5000 0.5000
# ρ (Mg/m³): 4.06
# VASP energy (eV per atom): -4.107

(18)
# Rb3CrCu, optimized geometry, DFT PBE
data_Rb3CrCu
_chemical_formula_sum 'Rb3 Cr1 Cu1'
_space_group_name_H-M_alt 'P m -3 m'
_space_group_IT_number 221
_space_group_name_Hall '-P 4 2 3'
_cell_length_a 6.557
_cell_length_b 6.557
_cell_length_c 6.557
_cell_angle_alpha 90.00
_cell_angle_beta 90.00
_cell_angle_gamma 90.00
loop_
_atom_site_label
_atom_site_fract_x
_atom_site_fract_y
_atom_site_fract_z
Rb1 0.000 0.000 0.500
Cr1 0.500 0.500 0.500
Cu1 0.000 0.000 0.000
# ρ (Mg/m³): 2.19
# VASP energy (eV per atom): -2.524

(19)
# CaSe2S, optimized geometry, DFT PBE
data_CaSe2S
_chemical_formula_sum 'Ca3 Se6 S3'
_space_group_name_H-M_alt 'R -3 m'
_space_group_IT_number 166
_space_group_name_Hall '-R 3 2"'
_cell_length_a 4.5728
_cell_length_b 4.5728
_cell_length_c 22.2582
_cell_angle_alpha 90.00
_cell_angle_beta 90.00
_cell_angle_gamma 120.00
loop_
_atom_site_label
_atom_site_fract_x
_atom_site_fract_y
_atom_site_fract_z
Ca1 0.0000 0.0000 0.0000
Se1 0.0000 0.0000 0.3940
S1 0.0000 0.0000 0.5000
# ρ (Mg/m³): 2.84
# E_form (uncorrected) (meV/atom): -488

(20)
# MgSc2Zn16, optimized geometry, DFT PBE
data_MgSc2Zn16
_chemical_formula_sum 'Mg3 Sc6 Zn48'
_space_group_name_H-M_alt 'R 3 m'
_space_group_IT_number 160
_space_group_name_Hall 'R 3 -2"'
_cell_length_a 8.9084
_cell_length_b 8.9084
_cell_length_c 13.1160
_cell_angle_alpha 90.00
_cell_angle_beta 90.00
_cell_angle_gamma 120.00
loop_
_atom_site_label
_atom_site_fract_x
_atom_site_fract_y
_atom_site_fract_z
Mg1 0.0000 0.0000 0.0000
Sc1 0.0000 0.0000 0.2467
Sc2 0.0000 0.0000 0.5682
Zn1 0.0000 0.0000 0.7916
Zn2 0.9999 0.3042 0.9074
Zn3 0.0027 0.5013 0.4076
Zn4 0.0149 0.5075 0.0596
Zn5 0.1718 0.3435 0.0899
# ρ (Mg/m³): 6.41
# VASP energy (eV per atom): -1.992